A plane-wave DFT calculation with PBEsol was carried out for La2ScMo after structural relaxation.

Cell: 3.2629 3.2629 10.3432 Å, 90.00 90.00 115.48°
Fractional coordinates of all 4 atoms:
La 0.0000 0.0000 0.2134
La 0.0000 0.0000 0.7866
Sc 0.5000 0.5000 0.5000
Mo 0.5000 0.5000 0.0000

Calculated values
Magnetization   0.0 μB/f.u.
Energy of formation from the pure elements   0.4325 eV per atom
ρ   6.99 g cm⁻³
Volume   24.85 Å³ per atom
DFT total energy   -6.834 eV per atom

A plane-wave DFT calculation with PBEsol was carried out for TmTi2Ga4 after structural relaxation.

Cell: 5.4017 5.4017 5.4017 Å, 104.28 104.28 120.43°
Fractional coordinates of all 7 atoms:
Tm 0.0000 0.0000 0.0000
Ti 0.2500 0.7500 0.5000
Ti 0.7500 0.2500 0.5000
Ga 0.3027 0.3027 0.6054
Ga 0.3027 0.6973 0.0000
Ga 0.6973 0.3027 0.0000
Ga 0.6973 0.6973 0.3946

Calculated values
Magnetization   0.0 μB/f.u.
Energy of formation from the pure elements   -0.5862 eV per atom
ρ   7.65 g cm⁻³
Volume   16.85 Å³ per atom
DFT total energy   -5.572 eV per atom

A plane-wave DFT calculation with PBEsol was carried out for LaTcTe2 after structural relaxation.

Cell: 5.9857 5.9857 5.9857 Å, 137.26 137.26 62.04°
Fractional coordinates of all 4 atoms:
La 0.0000 0.0000 0.0000
Tc 0.7500 0.2500 0.5000
Te 0.2500 0.7500 0.5000
Te 0.5000 0.5000 0.0000

Calculated values
Magnetization   2.6 μB/f.u.
Formation energy (no corrections)   -71 meV per atom
ρ   8.37 g cm⁻³
Volume   24.41 Å³ per atom
Energy above the lowest structure with this stoichiometry   573 meV/atom
DFT total energy   -5.987 eV per atom

A plane-wave DFT calculation with PBEsol was carried out for IrC2I2 after structural relaxation.

Cell: 5.1664 5.1664 5.1664 Å, 105.59 105.59 117.54°
Fractional coordinates of all 5 atoms:
Ir 0.0000 0.0000 0.0000
C 0.3759 0.3759 0.0000
C 0.6241 0.6241 0.0000
I 0.2500 0.7500 0.5000
I 0.7500 0.2500 0.5000

Calculated values
Magnetization   0.0 μB/f.u.
Formation energy (no corrections)   1586 meV per atom
ρ   7.47 g cm⁻³
Volume   20.91 Å³ per atom
DFT total energy   -4.943 eV per atom

A plane-wave DFT calculation with PBEsol was carried out for BaBe2Cr after structural relaxation.

Cell: 4.8658 4.8658 4.8658 Å, 121.64 121.64 87.18°
Fractional coordinates of all 4 atoms:
Ba 0.0000 0.0000 0.0000
Be 0.2500 0.7500 0.5000
Be 0.7500 0.2500 0.5000
Cr 0.5000 0.5000 0.0000

Calculated values
Magnetization   4.2 μB/f.u.
Energy of formation from the pure elements   1.0717 eV per atom
ρ   4.34 g cm⁻³
Volume   19.83 Å³ per atom
Energy above the lowest structure with this stoichiometry   575 meV/atom
DFT total energy   -4.026 eV per atom

A plane-wave DFT calculation with PBEsol was carried out for KSnF3 after structural relaxation.

Cell: 8.0035 9.8558 10.1549 Å, 79.59 72.15 73.70°
Fractional coordinates of all 40 atoms:
K 0.0312 0.3812 0.3660
K 0.2417 0.5268 0.9857
K 0.2459 0.0104 0.4904
K 0.4526 0.6523 0.6047
K 0.5474 0.3477 0.3953
K 0.7541 0.9896 0.5096
K 0.7583 0.4732 0.0143
K 0.9688 0.6188 0.6340
Sn 0.0559 0.1143 0.1386
Sn 0.2264 0.2439 0.7528
Sn 0.2931 0.7217 0.2503
Sn 0.4640 0.8611 0.8783
Sn 0.5360 0.1389 0.1217
Sn 0.7069 0.2783 0.7497
Sn 0.7736 0.7561 0.2472
Sn 0.9441 0.8857 0.8614
F 0.0597 0.6335 0.2337
F 0.0745 0.3220 0.0591
F 0.0882 0.8711 0.3591
F 0.1148 0.8088 0.6784
F 0.2004 0.8039 0.9252
F 0.2377 0.2733 0.5442
F 0.2474 0.1504 0.2465
F 0.2659 0.4449 0.7424
F 0.2737 0.5802 0.4269
F 0.4354 0.9090 0.6787
F 0.4538 0.3563 0.1479
F 0.4615 0.7962 0.3477
F 0.5385 0.2038 0.6523
F 0.5462 0.6437 0.8521
F 0.5646 0.0910 0.3213
F 0.7263 0.4198 0.5731
F 0.7341 0.5551 0.2576
F 0.7526 0.8496 0.7535
F 0.7623 0.7267 0.4558
F 0.7996 0.1961 0.0748
F 0.8852 0.1912 0.3216
F 0.9118 0.1289 0.6409
F 0.9255 0.6780 0.9409
F 0.9403 0.3665 0.7663

Calculated values
Magnetization   0.0 μB/f.u.
Formation energy (no corrections)   -2527 meV per atom
ρ   3.92 g cm⁻³
Volume   18.20 Å³ per atom
DFT total energy   -4.762 eV per atom

A plane-wave DFT calculation with PBEsol was carried out for InAg4Pt after structural relaxation.

Cell: 5.3105 5.3105 5.3105 Å, 60.00 60.00 60.00°
Fractional coordinates of all 6 atoms:
In 0.0000 0.0000 0.0000
Ag 0.3752 0.3752 0.3752
Ag 0.3752 0.3752 0.8744
Ag 0.3752 0.8744 0.3752
Ag 0.8744 0.3752 0.3752
Pt 0.7500 0.7500 0.7500

Calculated values
Magnetization   0.0 μB/f.u.
Energy of formation from the pure elements   0.1685 eV per atom
ρ   11.62 g cm⁻³
Volume   17.65 Å³ per atom
DFT total energy   -3.697 eV per atom

A plane-wave DFT calculation with PBEsol was carried out for FeI3F after structural relaxation.

Cell: 5.1545 5.1545 5.1545 Å, 90.00 90.00 90.00°
Fractional coordinates of all 5 atoms:
Fe 0.0000 0.0000 0.0000
I 0.0000 0.0000 0.5000
I 0.0000 0.5000 0.0000
I 0.5000 0.0000 0.0000
F 0.5000 0.5000 0.5000

Calculated values
Magnetization   3.8 μB/f.u.
Formation energy (no corrections)   85 meV per atom
ρ   5.52 g cm⁻³
Volume   27.39 Å³ per atom
DFT total energy   -3.153 eV per atom

A plane-wave DFT calculation with PBEsol was carried out for Mg4InNi after structural relaxation.

Cell: 5.5213 5.5213 5.5213 Å, 60.00 60.00 60.00°
Fractional coordinates of all 6 atoms:
Mg 0.3756 0.3756 0.3756
Mg 0.3756 0.3756 0.8731
Mg 0.3756 0.8731 0.3756
Mg 0.8731 0.3756 0.3756
In 0.0000 0.0000 0.0000
Ni 0.7500 0.7500 0.7500

Calculated values
Magnetization   0.0 μB/f.u.
Energy of formation from the pure elements   0.2855 eV per atom
ρ   3.78 g cm⁻³
Volume   19.84 Å³ per atom
DFT total energy   -2.383 eV per atom

A plane-wave DFT calculation with PBEsol was carried out for TiAl2Fe after structural relaxation.

Cell: 4.2345 4.2345 4.2345 Å, 60.00 60.00 60.00°
Fractional coordinates of all 4 atoms:
Ti 0.0000 0.0000 0.0000
Al 0.2500 0.2500 0.2500
Al 0.7500 0.7500 0.7500
Fe 0.5000 0.5000 0.5000

Calculated values
Magnetization   0.4 μB/f.u.
Energy of formation from the pure elements   -0.2227 eV per atom
ρ   4.88 g cm⁻³
Volume   13.42 Å³ per atom
DFT total energy   -6.590 eV per atom

A plane-wave DFT calculation with PBEsol was carried out for SnTeSe2Br after structural relaxation.

Cell: 5.3435 5.3435 5.3359 Å, 90.00 90.00 90.00°
Fractional coordinates of all 5 atoms:
Sn 0.0000 0.0000 0.0000
Te 0.5000 0.5000 0.5000
Se 0.0000 0.5000 0.5000
Se 0.5000 0.0000 0.5000
Br 0.5000 0.5000 0.0000

Calculated values
Magnetization   0.0 μB/f.u.
Formation energy (no corrections)   204 meV per atom
ρ   5.28 g cm⁻³
Volume   30.47 Å³ per atom
Energy above the lowest structure with this stoichiometry   0 meV/atom
DFT total energy   -3.267 eV per atom

A plane-wave DFT calculation with PBEsol was carried out for Al2FeBr after structural relaxation.

Cell: 3.0231 3.0231 7.4457 Å, 90.00 90.00 90.00°
Fractional coordinates of all 4 atoms:
Al 0.0000 0.0000 0.0000
Al 0.5000 0.5000 0.2471
Fe 0.5000 0.5000 0.8095
Br 0.0000 0.0000 0.5979

Calculated values
Magnetization   2.3 μB/f.u.
Formation energy (no corrections)   200 meV per atom
ρ   4.63 g cm⁻³
Volume   17.01 Å³ per atom
Energy above the lowest structure with this stoichiometry   104 meV/atom
DFT total energy   -4.554 eV per atom

A plane-wave DFT calculation with PBEsol was carried out for Ni2RuSe after structural relaxation.

Cell: 4.6422 4.6422 4.6422 Å, 134.31 134.31 66.61°
Fractional coordinates of all 4 atoms:
Ni 0.2500 0.7500 0.5000
Ni 0.7500 0.2500 0.5000
Ru 0.0000 0.0000 0.0000
Se 0.5000 0.5000 0.0000

Calculated values
Magnetization   2.0 μB/f.u.
Formation energy (no corrections)   321 meV per atom
ρ   9.80 g cm⁻³
Volume   12.61 Å³ per atom
DFT total energy   -6.263 eV per atom